Record 1
VASP calculation (PBE) on a relaxed Cs2Ni3S4 crystal.

Cell lengths 5.8574, 5.8574, 15.0419 Å; angles 90.00, 90.00, 120.00 degrees
Space group P6_3/mmc (No. 194)
Inequivalent atoms, fractional coordinates:
1 Cs 0.3333 0.6667 0.0871 [4 per cell]
2 Ni 0.1663 0.3326 0.7500 [6 per cell]
3 S 0.0000 0.0000 0.1552 [4 per cell]
4 S 0.3333 0.6667 0.6551 [4 per cell]

Record 2
VASP calculation (PBE) on a relaxed KTbBeSe3 crystal.

Cell lengths 4.028, 14.842, 10.949 Å; angles 90.00, 90.00, 90.00 degrees
Space group Cmcm (No. 63)
Inequivalent atoms, fractional coordinates:
1 K 0.000 0.243 0.250 [4 per cell]
2 Tb 0.000 0.500 0.000 [4 per cell]
3 Be 0.000 0.038 0.750 [4 per cell]
4 Se 0.000 0.123 0.581 [8 per cell]
5 Se 0.000 0.443 0.750 [4 per cell]

Record 3
VASP calculation (PBE) on a relaxed TlReTe2AuSe crystal.

Cell lengths 3.920, 15.616, 10.355 Å; angles 90.00, 90.00, 90.00 degrees
Space group Cmcm (No. 63)
Inequivalent atoms, fractional coordinates:
1 Tl 0.000 0.234 0.250 [4 per cell]
2 Re 0.000 0.000 0.000 [4 per cell]
3 Te 0.000 0.375 0.513 [8 per cell]
4 Au 0.000 0.445 0.750 [4 per cell]
5 Se 0.000 0.060 0.750 [4 per cell]

Record 4
VASP calculation (PBE) on a relaxed BaCd2GaAu crystal.

Cell lengths 4.710, 4.710, 11.805 Å; angles 90.00, 90.00, 90.00 degrees
Space group I4mm (No. 107)
Inequivalent atoms, fractional coordinates:
1 Ba 0.000 0.000 0.000 [2 per cell]
2 Cd 0.000 0.500 0.248 [4 per cell]
3 Ga 0.000 0.000 0.616 [2 per cell]
4 Au 0.000 0.000 0.395 [2 per cell]

Record 5
VASP calculation (PBE) on a relaxed Er5Lu2Te2Pd2 crystal.

Cell lengths 3.913, 15.504, 9.531 Å; angles 90.00, 90.00, 90.00 degrees
Space group Imm2 (No. 44)
Inequivalent atoms, fractional coordinates:
1 Er 0.000 0.000 0.000 [2 per cell]
2 Er 0.000 0.130 0.584 [4 per cell]
3 Er 0.000 0.356 0.735 [4 per cell]
4 Lu 0.000 0.317 0.374 [4 per cell]
5 Te 0.000 0.000 0.339 [2 per cell]
6 Te 0.000 0.500 0.235 [2 per cell]
7 Pd 0.000 0.236 0.068 [4 per cell]

Record 6
VASP calculation (PBE) on a relaxed GdCd2Hg crystal.

Cell lengths 6.519, 11.756, 4.982 Å; angles 90.00, 90.00, 90.00 degrees
Space group Cmcm (No. 63)
Inequivalent atoms, fractional coordinates:
1 Gd 0.000 0.174 0.250 [4 per cell]
2 Cd 0.245 0.426 0.250 [8 per cell]
3 Hg 0.000 0.332 0.750 [4 per cell]

Results
formation enthalpy at 0 K: -0.3436 eV/atom

Record 7
VASP calculation (PBE) on a relaxed Nd2Si2IBr crystal.

Cell lengths 4.1622, 4.1622, 11.6139 Å; angles 90.00, 90.00, 120.00 degrees
Space group P3m1 (No. 156)
Inequivalent atoms, fractional coordinates:
1 Nd 0.0000 0.0000 0.0000 [1 per cell]
2 Nd 0.0000 0.0000 0.3442 [1 per cell]
3 Si 0.3333 0.6667 0.1782 [1 per cell]
4 Si 0.6667 0.3333 0.1660 [1 per cell]
5 I 0.3333 0.6667 0.8155 [1 per cell]
6 Br 0.6667 0.3333 0.5059 [1 per cell]

Record 8
VASP calculation (PBE) on a relaxed Pa2Ir2O5 crystal.

Cell lengths 3.955, 3.955, 7.265 Å; angles 90.00, 90.00, 90.00 degrees
Space group P4/mmm (No. 123)
Inequivalent atoms, fractional coordinates:
1 Pa 0.000 0.000 0.000 [1 per cell]
2 Pa 0.000 0.000 0.500 [1 per cell]
3 Ir 0.500 0.500 0.190 [2 per cell]
4 O 0.000 0.500 0.266 [4 per cell]
5 O 0.500 0.500 0.500 [1 per cell]

Result set for DFT total energy: -4.625, -4.725, -4.424, -2.442, -5.264, -2.029, -5.092, -7.960 eV per atom, one per record in the order listed.